[1]
The following is a DFT calculation (PBE) of a geometry-optimized LaThTlAu structure.

Output
DOS at the Fermi energy in states/eV/cell: 4.88
Formation energy in eV per atom: -0.381
Total magnetization in μB per atom: 0.134
Energy in eV per atom: -4.879
ρ in g/cm³: 11.26

Cell lengths 5.4409, 5.4409, 5.4409 Å; angles 60.00, 60.00, 60.00 degrees
Last column: magnetic moment on the atom in μB.
Element x y z (fractional)
Au 0.0000 0.0000 0.0000  0.03
Tl 0.5000 0.5000 0.5000  0.00
Th 0.7500 0.7500 0.7500  0.14
La 0.2500 0.2500 0.2500  0.10


[2]
The following is a DFT calculation (PBE) of a geometry-optimized Rb2DyAg2Se4 structure.

Output
DOS at the Fermi energy in states/eV/cell: 4.27
Total magnetization in μB per atom: 0.000
Energy in eV per atom: -3.920
ρ in g/cm³: 5.53
E_form (uncorrected) in eV per atom: -1.01

Cell lengths 4.1967, 8.3204, 8.1235 Å; angles 108.01, 104.97, 90.00 degrees
Element x y z (fractional)
Se 0.5119 0.7676 0.0238
Se 0.4881 0.2324 0.9762
Se 0.1947 0.1891 0.3895
Se 0.8053 0.8109 0.6105
Ag 0.3206 0.0181 0.6412
Ag 0.6794 0.9819 0.3588
Dy 0.0000 0.0000 0.0000
Rb 0.1305 0.5638 0.2611
Rb 0.8695 0.4362 0.7389


[3]
The following is a DFT calculation (PBE) of a geometry-optimized Sm2GeRu3 structure.

Output
DOS at the Fermi energy in states/eV/cell: 6.90
Formation energy in eV per atom: -0.399
Total magnetization in μB per atom: 0.000
Energy in eV per atom: -7.380
ρ in g/cm³: 10.15

Cell lengths 5.2117, 5.2117, 5.2117 Å; angles 64.84, 64.84, 64.84 degrees
Element x y z (fractional)
Sm 0.6276 0.6276 0.6276
Sm 0.3724 0.3724 0.3724
Ru 0.0000 0.0000 0.5000
Ru 0.0000 0.5000 0.0000
Ru 0.5000 0.0000 0.0000
Ge 0.0000 0.0000 0.0000


[4]
The following is a DFT calculation (PBE) of a geometry-optimized Na2MgGeBr6 structure.

Output
DOS at the Fermi energy in states/eV/cell: 0.00
Total magnetization in μB per atom: 0.000
Energy in eV per atom: -3.087
ρ in g/cm³: 3.55
E_form (uncorrected) in eV per atom: -1.20

Cell lengths 7.2467, 7.2473, 7.6537 Å; angles 61.74, 61.74, 59.97 degrees
Element x y z (fractional)
Br 0.6937 0.0952 0.7655
Br 0.5810 0.2077 0.2542
Br 0.9572 0.5811 0.2541
Br 0.0953 0.4456 0.7655
Br 0.2077 0.9571 0.2541
Br 0.4456 0.6937 0.7655
Na 0.0184 0.0184 0.9450
Na 0.5242 0.5241 0.4279
Mg 0.3201 0.3200 0.0392
Ge 0.8183 0.8187 0.5442